## LiHf2Ni (GGA-PBE)

Data for a relaxed structure of LiHf2Ni.

Properties
- Formation energy: 0.26 eV per atom
- D(E_F): 20.75 states/eV per cell
- Magnetization: 0.0 μB/cell
- Crystal system: tetragonal

Cell lengths 7.295, 7.295, 5.650 Å; angles 90.00, 90.00, 90.00 degrees
Space group I-42d (No. 122)
Symmetry-distinct sites (fractional):
Li 0.000 0.000 0.000 x4
Hf 0.206 0.750 0.625 x8
Ni 0.000 0.000 0.500 x4

---

## LiHfNi2 (GGA-PBE)

Data for a relaxed structure of LiHfNi2.

Properties
- Formation energy: 0.06 eV per atom
- D(E_F): 6.11 states/eV per cell
- Magnetization: 0.0 μB/cell
- Crystal system: tetragonal

Cell lengths 6.586, 6.586, 5.270 Å; angles 90.00, 90.00, 90.00 degrees
Space group I-42d (No. 122)
Symmetry-distinct sites (fractional):
Li 0.000 0.000 0.000 x4
Hf 0.000 0.000 0.500 x4
Ni 0.229 0.250 0.125 x8

---

## Li2Hf2Ni (GGA-PBE)

Data for a relaxed structure of Li2Hf2Ni.

Properties
- Formation energy: 0.24 eV per atom
- D(E_F): 10.92 states/eV per cell
- Magnetization: 1.6 μB/cell
- Relative energy among the computed polymorphs: 0 meV per atom
- Crystal system: tetragonal

Cell lengths 3.154, 3.154, 17.416 Å; angles 90.00, 90.00, 90.00 degrees
Space group I4/mmm (No. 139)
Symmetry-distinct sites (fractional):
Li 0.000 0.500 0.250 x4
Hf 0.000 0.000 0.092 x4
Ni 0.000 0.000 0.500 x2

---

## Li2HfNi (GGA-PBE)

Data for a relaxed structure of Li2HfNi.

Properties
- Formation energy: 0.33 eV per atom
- D(E_F): 22.63 states/eV per cell
- Magnetization: 0.0 μB/cell
- Relative energy among the computed polymorphs: 197 meV per atom
- Crystal system: cubic

Cell lengths 6.093, 6.093, 6.093 Å; angles 90.00, 90.00, 90.00 degrees
Space group Fm-3m (No. 225)
Symmetry-distinct sites (fractional):
Li 0.250 0.250 0.250 x8
Hf 0.000 0.000 0.000 x4
Ni 0.000 0.000 0.500 x4